## 1
Mg2WBr: relaxed, GGA-PBE.

abc: 3.081 3.081 8.772
angles: 90.00 90.00 90.00
Positions (direct):
Mg 0.000 0.000 0.000
Mg 0.500 0.500 0.264
W 0.000 0.000 0.487
Br 0.500 0.500 0.676

## Properties
Calculated volume in A^3/atom: 20.82
Space-group type: P4mm
Total magnetization in μB/cell: 0.00

---

## 2
Mg2WBr: relaxed, GGA-PBE.

abc: 3.067 3.067 10.916
angles: 90.00 90.00 118.77
Positions (direct):
Mg 0.000 0.000 0.000
Mg 0.500 0.500 0.253
W 0.500 0.500 0.781
Br 0.000 0.000 0.591

## Properties
Calculated volume in A^3/atom: 22.51
Space-group type: Cmm2
Total magnetization in μB/cell: 0.00

---

## 3
Mg2WBr: relaxed, GGA-PBE.

abc: 3.072 3.072 8.516
angles: 90.00 90.00 102.44
Positions (direct):
Mg 0.000 0.000 0.240
Mg 0.000 0.000 0.760
W 0.500 0.500 0.000
Br 0.500 0.500 0.500

## Properties
Calculated volume in A^3/atom: 19.62
Space-group type: Cmmm
Total magnetization in μB/cell: 0.00

---

## 4
Mg2WBr: relaxed, GGA-PBE.

abc: 4.984 4.984 4.984
angles: 60.00 60.00 60.00
Positions (direct):
Mg 0.250 0.250 0.250
Mg 0.750 0.750 0.750
W 0.000 0.000 0.000
Br 0.500 0.500 0.500

## Properties
Calculated volume in A^3/atom: 21.88
Space-group type: Fm-3m
Total magnetization in μB/cell: 3.01

---

Most stable structure - 3; separation to the second - 0.338 eV/atom.

---

## 1
Mg2WBr: relaxed, GGA-PBE.

abc: 8.929 8.929 8.929
angles: 20.67 20.67 20.67
Positions (direct):
Mg 0.250 0.250 0.250
Mg 0.750 0.750 0.750
W 0.000 0.000 0.000
Br 0.500 0.500 0.500

## Properties
Calculated volume in A^3/atom: 19.41
Space-group type: R-3m
Total magnetization in μB/cell: 0.00

---

## 2
Mg2WBr: relaxed, GGA-PBE.

abc: 3.099 3.053 8.571
angles: 90.00 90.07 90.00
Positions (direct):
Mg 0.001 0.000 0.234
Mg 0.999 0.000 0.766
W 0.500 0.500 0.000
Br 0.000 0.500 0.500

## Properties
Calculated volume in A^3/atom: 20.27
Space-group type: P2/m
Total magnetization in μB/cell: 0.00

---

Most stable structure - 2; separation to the second - 0.036 eV/atom.

---

## 1
Mg2WBr: relaxed, GGA-PBE.

abc: 4.856 4.856 4.856
angles: 60.00 60.00 60.00
Positions (direct):
Mg 0.000 0.000 0.000
Mg 0.250 0.250 0.250
W 0.750 0.750 0.750
Br 0.500 0.500 0.500

## Properties
Calculated volume in A^3/atom: 20.24
Space-group type: F-43m
Total magnetization in μB/cell: 2.59

---

## 2
Mg2WBr: relaxed, GGA-PBE.

abc: 5.640 5.640 5.640
angles: 137.87 137.87 61.10
Positions (direct):
Mg 0.000 0.000 0.000
Mg 0.750 0.250 0.500
W 0.250 0.750 0.500
Br 0.500 0.500 0.000

## Properties
Calculated volume in A^3/atom: 19.96
Space-group type: I-4m2
Total magnetization in μB/cell: 1.24

---

Most stable structure - 2; separation to the second - 0.154 eV/atom.

---

## 1
Mg2WBr: relaxed, GGA-PBE.

abc: 5.652 5.652 5.111
angles: 116.74 116.74 31.90
Positions (direct):
Mg 0.242 0.242 0.243
Mg 0.758 0.758 0.757
W 0.000 0.000 0.500
Br 0.500 0.500 0.000

## Properties
Calculated volume in A^3/atom: 19.06
Space-group type: C2/m
Total magnetization in μB/cell: 0.46

---

## 2
Mg2WBr: relaxed, GGA-PBE.

abc: 5.516 5.516 5.516
angles: 135.83 135.83 64.25
Positions (direct):
Mg 0.250 0.750 0.500
Mg 0.750 0.250 0.500
W 0.000 0.000 0.000
Br 0.500 0.500 0.000

## Properties
Calculated volume in A^3/atom: 20.10
Space-group type: I4/mmm
Total magnetization in μB/cell: 2.73

---

## 3
Mg2WBr: relaxed, GGA-PBE.

abc: 3.073 4.839 5.162
angles: 90.00 90.12 90.00
Positions (direct):
Mg 0.000 0.000 0.000
Mg 0.003 0.500 0.668
W 0.502 0.500 0.168
Br 0.503 0.000 0.451

## Properties
Calculated volume in A^3/atom: 19.19
Space-group type: Pm
Total magnetization in μB/cell: 0.00

---

## 4
Mg2WBr: relaxed, GGA-PBE.

abc: 6.169 6.169 6.169
angles: 103.47 103.47 122.29
Positions (direct):
Mg 0.110 0.625 0.985
Mg 0.375 0.360 0.485
Mg 0.640 0.125 0.015
Mg 0.875 0.890 0.515
W 0.250 0.750 0.500
W 0.500 0.500 0.000
Br 0.000 0.000 0.000
Br 0.750 0.250 0.500

## Properties
Calculated volume in A^3/atom: 21.73
Space-group type: I-42d
Total magnetization in μB/cell: 4.93

---

Most stable structure - 3; separation to the second - 0.225 eV/atom.

---

## 1
MgW3Br: relaxed, GGA-PBE.

abc: 4.630 4.630 4.630
angles: 90.00 90.00 90.00
Positions (direct):
Mg 0.000 0.000 0.000
W 0.000 0.500 0.500
W 0.500 0.000 0.500
W 0.500 0.500 0.000
Br 0.500 0.500 0.500

## Properties
Calculated volume in A^3/atom: 19.85
Space-group type: Pm-3m
Total magnetization in μB/cell: 0.00

---

## 2
MgW3Br: relaxed, GGA-PBE.

abc: 4.696 4.696 4.696
angles: 90.00 90.00 90.00
Positions (direct):
Mg 0.000 0.000 0.000
W 0.000 0.000 0.500
W 0.000 0.500 0.000
W 0.500 0.000 0.000
Br 0.500 0.500 0.500

## Properties
Calculated volume in A^3/atom: 20.71
Space-group type: Pm-3m
Total magnetization in μB/cell: 0.00

---

Most stable structure - 1; separation to the second - 0.997 eV/atom.

---

## 1
YMgBr2: relaxed, GGA-PBE.

abc: 3.514 3.514 10.031
angles: 90.00 90.00 90.00
Positions (direct):
Y 0.000 0.000 0.000
Mg 0.000 0.000 0.500
Br 0.500 0.500 0.171
Br 0.500 0.500 0.829

## Properties
Calculated volume in A^3/atom: 30.97
Space-group type: P4/mmm
Total magnetization in μB/cell: 0.00

---

## 2
YMgBr2: relaxed, GGA-PBE.

abc: 5.543 5.543 5.543
angles: 128.20 128.20 76.31
Positions (direct):
Y 0.000 0.000 0.000
Mg 0.500 0.500 0.000
Br 0.250 0.750 0.500
Br 0.750 0.250 0.500

## Properties
Calculated volume in A^3/atom: 25.56
Space-group type: I4/mmm
Total magnetization in μB/cell: 0.00

---

## 3
YMgBr2: relaxed, GGA-PBE.

abc: 6.742 6.742 6.742
angles: 144.07 144.07 51.73
Positions (direct):
Y 0.000 0.000 0.000
Mg 0.750 0.250 0.500
Br 0.250 0.750 0.500
Br 0.500 0.500 0.000

## Properties
Calculated volume in A^3/atom: 26.24
Space-group type: I-4m2
Total magnetization in μB/cell: 0.00

---

## 4
YMgBr2: relaxed, GGA-PBE.

abc: 5.253 5.253 3.680
angles: 90.00 90.00 90.00
Positions (direct):
Y 0.000 0.000 0.000
Mg 0.500 0.500 0.000
Br 0.000 0.500 0.500
Br 0.500 0.000 0.500

## Properties
Calculated volume in A^3/atom: 25.39
Space-group type: P4/mmm
Total magnetization in μB/cell: 0.20

---

Most stable structure - 1; separation to the second - 0.274 eV/atom.

---

## 1
YMgBr4: relaxed, GGA-PBE.

abc: 6.305 6.305 6.305
angles: 60.00 60.00 60.00
Positions (direct):
Y 0.000 0.000 0.000
Mg 0.250 0.250 0.250
Br 0.124 0.625 0.625
Br 0.625 0.124 0.625
Br 0.625 0.625 0.124
Br 0.625 0.625 0.625

## Properties
Calculated volume in A^3/atom: 29.55
Space-group type: F-43m
Total magnetization in μB/cell: 0.85

---

## 2
YMgBr4: relaxed, GGA-PBE.

abc: 7.290 3.768 7.691
angles: 90.00 105.88 90.00
Positions (direct):
Y 0.000 0.000 0.000
Mg 0.500 0.500 0.000
Br 0.269 0.500 0.225
Br 0.279 0.000 0.795
Br 0.721 0.000 0.205
Br 0.731 0.500 0.775

## Properties
Calculated volume in A^3/atom: 33.87
Space-group type: P2/m
Total magnetization in μB/cell: 0.00

---

Most stable structure - 2; separation to the second - 1.498 eV/atom.

---

## 1
Mg2ZnBr: relaxed, GGA-PBE.

abc: 5.178 5.178 5.178
angles: 60.00 60.00 60.00
Positions (direct):
Mg 0.250 0.250 0.250
Mg 0.750 0.750 0.750
Zn 0.000 0.000 0.000
Br 0.500 0.500 0.500

## Properties
Calculated volume in A^3/atom: 24.54
Space-group type: Fm-3m
Total magnetization in μB/cell: 0.00

---

## 2
Mg2ZnBr: relaxed, GGA-PBE.

abc: 3.436 3.342 7.827
angles: 90.00 90.09 90.00
Positions (direct):
Mg 0.000 0.000 0.213
Mg 0.000 0.000 0.787
Zn 0.500 0.500 0.000
Br 0.000 0.500 0.500

## Properties
Calculated volume in A^3/atom: 22.47
Space-group type: P2/m
Total magnetization in μB/cell: 0.00

---

Most stable structure - 2; separation to the second - 0.400 eV/atom.

---

## 1
Mg2ZnBr: relaxed, GGA-PBE.

abc: 3.459 3.459 8.528
angles: 90.00 90.00 90.00
Positions (direct):
Mg 0.000 0.000 0.000
Mg 0.500 0.500 0.255
Zn 0.000 0.000 0.417
Br 0.500 0.500 0.823

## Properties
Calculated volume in A^3/atom: 25.50
Space-group type: P4mm
Total magnetization in μB/cell: 0.00

---

## 2
Mg2ZnBr: relaxed, GGA-PBE.

abc: 5.249 5.249 3.455
angles: 98.62 98.62 104.36
Positions (direct):
Mg 0.000 0.500 0.000
Mg 0.500 0.000 0.000
Zn 0.000 0.000 0.500
Br 0.500 0.500 0.500

## Properties
Calculated volume in A^3/atom: 22.35
Space-group type: C2/m
Total magnetization in μB/cell: 0.00

---

Most stable structure - 1; separation to the second - 0.082 eV/atom.

---

## 1
Mg2ZnBr: relaxed, GGA-PBE.

abc: 5.958 5.958 4.887
angles: 104.63 104.63 32.62
Positions (direct):
Mg 0.000 0.000 0.000
Mg 0.745 0.745 0.438
Zn 0.466 0.466 0.467
Br 0.227 0.227 0.901

## Properties
Calculated volume in A^3/atom: 22.56
Space-group type: Cm
Total magnetization in μB/cell: 0.00

---

## 2
Mg2ZnBr: relaxed, GGA-PBE.

abc: 3.426 4.686 5.819
angles: 90.00 90.00 90.00
Positions (direct):
Mg 0.000 0.000 0.000
Mg 0.500 0.500 0.500
Zn 0.000 0.000 0.500
Br 0.500 0.500 0.000

## Properties
Calculated volume in A^3/atom: 23.35
Space-group type: Pmmm
Total magnetization in μB/cell: 0.00

---

## 3
Mg2ZnBr: relaxed, GGA-PBE.

abc: 3.534 3.534 8.316
angles: 102.10 102.10 60.21
Positions (direct):
Mg 0.243 0.243 0.236
Mg 0.757 0.757 0.764
Zn 0.500 0.500 0.000
Br 0.000 0.000 0.500

## Properties
Calculated volume in A^3/atom: 21.86
Space-group type: C2/m
Total magnetization in μB/cell: 0.00

---

## 4
Mg2ZnBr: relaxed, GGA-PBE.

abc: 6.344 6.344 6.344
angles: 105.95 105.95 116.77
Positions (direct):
Mg 0.119 0.125 0.494
Mg 0.375 0.881 0.006
Mg 0.631 0.625 0.506
Mg 0.875 0.369 0.994
Zn 0.000 0.000 0.000
Zn 0.750 0.250 0.500
Br 0.250 0.750 0.500
Br 0.500 0.500 0.000

## Properties
Calculated volume in A^3/atom: 24.26
Space-group type: I-42d
Total magnetization in μB/cell: 0.00

---

Most stable structure - 3; separation to the second - 0.166 eV/atom.

---

## 1
Mg2ZnBr: relaxed, GGA-PBE.

abc: 5.695 5.695 5.695
angles: 144.41 114.41 76.91
Positions (direct):
Mg 0.247 0.247 0.000
Mg 0.753 0.753 0.000
Zn 0.000 0.500 0.500
Br 0.500 0.000 0.500

## Properties
Calculated volume in A^3/atom: 23.94
Space-group type: Immm
Total magnetization in μB/cell: 0.00

---

## 2
Mg2ZnBr: relaxed, GGA-PBE.

abc: 3.350 4.703 6.146
angles: 90.00 90.00 90.00
Positions (direct):
Mg 0.000 0.000 0.000
Mg 0.500 0.000 0.500
Zn 0.000 0.500 0.500
Br 0.500 0.500 0.000

## Properties
Calculated volume in A^3/atom: 24.20
Space-group type: Pmmm
Total magnetization in μB/cell: 0.00

---

Most stable structure - 1; separation to the second - 0.057 eV/atom.